i:
Below is a relaxed structure of NaBeIn, with properties calculated at the GGA-PBE level.

abc: 5.1079 3.8486 6.6809
angles: 90.00 104.69 90.00
Sites, in units of the cell vectors:
Na  0.0000  0.0000  0.0000
Na  0.0627  0.0000  0.4515
Be  0.6218  0.0000  0.6093
Be  0.8366  0.5000  0.6738
In  0.4024  0.5000  0.8149
In  0.5188  0.5000  0.3033

Computed properties:
* calculated volume: 127.0 Å³/cell
* space group: Pm

ii:
Below is a relaxed structure of NaBeIn, with properties calculated at the GGA-PBE level.

abc: 4.7786 3.9666 7.0095
angles: 90.00 98.80 90.00
Sites, in units of the cell vectors:
Na  0.2308  0.2500  0.3581
Na  0.7692  0.7500  0.6419
Be  0.1155  0.7500  0.0245
Be  0.8845  0.2500  0.9755
In  0.3423  0.2500  0.8457
In  0.6577  0.7500  0.1543

Computed properties:
* calculated volume: 131.3 Å³/cell
* space group: P2_1/m

The structure with the most favorable energy is ii; the runner-up is 142 meV/atom above it.